1.
## NaCrBr2N (PBE-GGA)

Data for a relaxed structure of NaCrBr2N.

The structure in POSCAR format:
```
NaCrBr2N
1.0
-3.6697 -2.8712 -0.9347
2.5734 -4.4895 3.6871
-2.3265 1.7509 3.7558
Br N Cr Na
2 1 1 1
Direct
0.5000 0.0000 0.0000
0.0000 0.0000 0.5000
0.5000 0.5000 0.5000
0.0000 0.0000 0.0000
0.0000 0.5000 0.0000
```

The energy relative to the elements, uncorrected is 1013 meV/atom. Its crystal system is tetragonal. The value obtained for the total magnetic moment is 2.72 μB per formula unit. The value obtained for the density of states at the Fermi level is 5.9 states/eV/f.u.


2.
## Pr6Bi2Te3As (PBE-GGA)

Data for a relaxed structure of Pr6Bi2Te3As.

The structure in POSCAR format:
```
Pr6Bi2Te3As
1.0
4.5144 0.0000 0.0000
0.0000 9.1103 0.3180
-2.2572 -2.6281 9.5708
Pr Bi Te As
6 2 3 1
Direct
0.3455 0.9222 0.6911
0.3348 0.4171 0.6697
0.6545 0.0778 0.3089
0.0011 0.7752 0.0023
0.6652 0.5829 0.3303
0.9989 0.2248 0.9977
0.1667 0.3339 0.3334
0.8333 0.6661 0.6666
0.8295 0.1634 0.6590
0.5000 0.5000 0.0000
0.1705 0.8366 0.3410
0.5000 0.0000 0.0000
```

The energy relative to the elements, uncorrected is -1320 meV/atom. Its crystal system is monoclinic. The value obtained for the total magnetic moment is 0.00 μB per formula unit. The value obtained for the density of states at the Fermi level is 5.5 states/eV/f.u.


3.
## BaAl2Au (PBE-GGA)

Data for a relaxed structure of BaAl2Au.

The structure in POSCAR format:
```
BaAl2Au
1.0
6.7818 0.0174 0.0108
5.3364 4.1852 0.0108
5.3364 1.8507 3.7538
Al Ba Au
2 1 1
Direct
0.5474 0.5474 0.5474
0.9526 0.9526 0.9526
0.7500 0.7500 0.7500
0.2500 0.2500 0.2500
```

The calculation puts the formation energy at -453 meV per atom. Its crystal system is trigonal. The value obtained for the total magnetic moment is 0.01 μB per formula unit. The value obtained for the density of states at the Fermi level is 3.2 states/eV/f.u.


4.
## PmMgCoCu (PBE-GGA)

Data for a relaxed structure of PmMgCoCu.

The structure in POSCAR format:
```
PmMgCoCu
1.0
4.7061 0.0000 0.0000
2.3531 4.0756 0.0000
2.3531 1.3585 3.8425
Co Cu Pm Mg
1 1 1 1
Direct
0.2500 0.2500 0.2500
0.7500 0.7500 0.7500
0.0000 0.0000 0.0000
0.5000 0.5000 0.5000
```

The calculation puts the formation energy at 9 meV per atom. Its crystal system is cubic. The value obtained for the total magnetic moment is 0.52 μB per formula unit. The value obtained for the density of states at the Fermi level is 2.6 states/eV/f.u.


> Which value of total magnetic moment does entry 4 give?

0.52 μB per formula unit


> Which value of total magnetic moment does entry 1 give?

2.72 μB per formula unit


What did the fourth record say?
## PmMgCoCu (PBE-GGA)

Data for a relaxed structure of PmMgCoCu.

The structure in POSCAR format:
```
PmMgCoCu
1.0
4.7061 0.0000 0.0000
2.3531 4.0756 0.0000
2.3531 1.3585 3.8425
Co Cu Pm Mg
1 1 1 1
Direct
0.2500 0.2500 0.2500
0.7500 0.7500 0.7500
0.0000 0.0000 0.0000
0.5000 0.5000 0.5000
```

The calculation puts the formation energy at 9 meV per atom. Its crystal system is cubic. The value obtained for the total magnetic moment is 0.52 μB per formula unit. The value obtained for the density of states at the Fermi level is 2.6 states/eV/f.u.